Computed, not measured: an optimized crystal structure of K2ZrPt at the GGA-PBE level of DFT.

abc: 11.8170 11.8170 8.7266
angles: 47.38 47.38 90.00
With the nearest neighbours (Å) after each atom.
Sites, in units of the cell vectors:
1 K 0.7619 0.1250 0.2500  2 Pt 3.30
2 K 0.8750 0.0119 0.7500  2 Pt 3.30
3 Pt 0.0000 0.0000 0.0000  2 Zr 2.52
4 Pt 0.7500 0.2500 0.5000  2 Zr 2.52
5 Zr 0.5000 0.5000 0.0000  2 Pt 2.52
6 K 0.3750 0.2381 0.7500  2 Pt 3.30
7 K 0.9881 0.6250 0.2500  2 Pt 3.30
8 Zr 0.2500 0.7500 0.5000  2 Pt 2.52

Properties
total magnetic moment	1.42	μB/f.u.
DFT total energy	-3.6776	eV/atom
excess energy over the best structure of this formula in the dataset	625	meV/atom
space group	I-42d, No. 122
formation energy from the elements	50.0	kJ per mole of atoms